## GeBPb2Cl (PBE-GGA)

Data for a geometry-optimized GeBPb2Cl structure.

Unit cell a=5.522 b=5.522 c=4.995 alpha=90.00 beta=90.00 gamma=90.00
Sites, in units of the cell vectors:
Ge: 0.000 0.000 0.000
B: 0.500 0.500 0.000
Pb: 0.000 0.500 0.500
Pb: 0.500 0.000 0.500
Cl: 0.000 0.000 0.500

Calculated values
For the formation energy (no corrections), the calculation gives 6.43 eV/f.u. The uncorrected energy comes out at -2.825 eV per atom. Its space group is P4/mmm. The density of states at the Fermi level comes out at 0.989 states/eV per cell.

## Sm4Sc (PBE-GGA)

Data for a geometry-optimized Sm4Sc structure.

Unit cell a=5.645 b=5.645 c=5.645 alpha=90.00 beta=90.00 gamma=90.00
Sites, in units of the cell vectors:
Sm: 0.000 0.000 0.000
Sm: 0.000 0.500 0.500
Sm: 0.500 0.000 0.500
Sm: 0.500 0.500 0.000
Sc: 0.500 0.500 0.500

Calculated values
The polymorph energy (0 for the lowest one) comes out at 473.8 meV per atom. The value obtained for the formation energy is 0.5650 eV per atom. The uncorrected energy comes out at -4.477 eV per atom. Its space group is Pm-3m. The density of states at the Fermi level comes out at 7.972 states/eV per cell.

## Bi6IrBr2 (PBE-GGA)

Data for a geometry-optimized Bi6IrBr2 structure.

Unit cell a=9.708 b=9.708 c=3.713 alpha=100.97 beta=100.97 gamma=58.07
Sites, in units of the cell vectors:
Bi: 0.003 0.316 0.658
Bi: 0.233 0.767 0.000
Bi: 0.316 0.003 0.658
Bi: 0.684 0.997 0.342
Bi: 0.767 0.233 0.000
Bi: 0.997 0.684 0.342
Ir: 0.000 0.000 0.500
Br: 0.382 0.382 0.886
Br: 0.618 0.618 0.114

Calculated values
For the formation energy (no corrections), the calculation gives -0.25 eV/f.u. The uncorrected energy comes out at -3.972 eV per atom. Its space group is C2/m. The density of states at the Fermi level comes out at 2.979 states/eV per cell.

## Tm5Sc4Tl4 (PBE-GGA)

Data for a geometry-optimized Tm5Sc4Tl4 structure.

Unit cell a=8.791 b=8.791 c=8.791 alpha=94.31 beta=94.31 gamma=148.17
Sites, in units of the cell vectors:
Tm: 0.000 0.000 0.000
Tm: 0.310 0.607 0.917
Tm: 0.393 0.310 0.703
Tm: 0.607 0.690 0.297
Tm: 0.690 0.393 0.083
Sc: 0.097 0.412 0.509
Sc: 0.412 0.903 0.315
Sc: 0.588 0.097 0.685
Sc: 0.903 0.588 0.491
Tl: 0.089 0.756 0.845
Tl: 0.244 0.089 0.333
Tl: 0.756 0.911 0.667
Tl: 0.911 0.244 0.155

Calculated values
The value obtained for the formation energy is -0.2356 eV per atom. The uncorrected energy comes out at -4.632 eV per atom. Its space group is I4/m. The density of states at the Fermi level comes out at 9.523 states/eV per cell.

## Zr5Sb (PBE-GGA)

Data for a geometry-optimized Zr5Sb structure.

Unit cell a=7.453 b=7.453 c=4.355 alpha=90.00 beta=90.00 gamma=145.76
Sites, in units of the cell vectors:
Zr: 0.000 0.000 0.000
Zr: 0.167 0.833 0.500
Zr: 0.332 0.668 0.000
Zr: 0.668 0.332 0.000
Zr: 0.833 0.167 0.500
Sb: 0.500 0.500 0.500

Calculated values
The polymorph energy (0 for the lowest one) comes out at 0.0 meV per atom. For the formation energy (no corrections), the calculation gives -1.58 eV/f.u. The uncorrected energy comes out at -8.073 eV per atom. Its space group is Cmmm. The density of states at the Fermi level comes out at 6.712 states/eV per cell.

## Li2CaTe (PBE-GGA)

Data for a geometry-optimized Li2CaTe structure.

Unit cell a=4.479 b=4.479 c=4.970 alpha=90.00 beta=90.00 gamma=90.00
Sites, in units of the cell vectors:
Li: 0.000 0.500 0.000
Li: 0.500 0.000 0.000
Ca: 0.000 0.000 0.500
Te: 0.500 0.500 0.500

Calculated values
For the formation energy (no corrections), the calculation gives -2.73 eV/f.u. The uncorrected energy comes out at -2.925 eV per atom. Its space group is P4/mmm. The density of states at the Fermi level comes out at 0.727 states/eV per cell.